# 1
Compound: K2S3O6
Source: the Alexandria database
Functional: PBE
Structure: optimized geometry

a = 9.924 Å, b = 5.803 Å, c = 14.374 Å
α = 90.00°, β = 90.00°, γ = 90.00°
Space group Pnma (No. 62)
One atom of each set of equivalent atoms:
K 0.136 0.250 0.089 (multiplicity 4)
K 0.181 0.250 0.765 (multiplicity 4)
S 0.029 0.250 0.313 (multiplicity 4)
S 0.084 0.250 0.456 (multiplicity 4)
S 0.204 0.750 0.967 (multiplicity 4)
O 0.081 0.039 0.269 (multiplicity 8)
O 0.118 0.750 0.675 (multiplicity 4)
O 0.149 0.539 0.924 (multiplicity 8)
O 0.195 0.750 0.069 (multiplicity 4)

Computed properties:
For the formation energy from raw total energies, the calculation gives -1.488 eV per atom.

=====

# 2
Compound: Ca8Ga2Rh
Source: the Alexandria database
Functional: PBE
Structure: optimized geometry

a = 5.128 Å, b = 8.657 Å, c = 14.571 Å
α = 90.00°, β = 90.00°, γ = 90.00°
Space group Immm (No. 71)
One atom of each set of equivalent atoms:
Ca 0.000 0.000 0.129 (multiplicity 4)
Ca 0.000 0.223 0.342 (multiplicity 8)
Ca 0.000 0.320 0.000 (multiplicity 4)
Ga 0.000 0.500 0.190 (multiplicity 4)
Rh 0.000 0.500 0.500 (multiplicity 2)

Computed properties:
The final energy is -62.68 eV/cell.

=====

For the records above, the corresponding calculated volume values read 18.8; 29.4 Å³/atom.